Compound: PmSmTm5
Source: Alexandria via LeMat-Bulk
Functional: PBE
Structure: optimized geometry

Unit cell a=6.694 b=6.694 c=13.715 alpha=61.17 beta=61.17 gamma=61.00
Atoms (fractional coordinates):
Pm (0.726, 0.274, 0.750)
Pm (0.274, 0.726, 0.250)
Sm (0.000, 0.000, 0.000)
Sm (0.000, 0.000, 0.500)
Tm (0.175, 0.389, 0.746)
Tm (0.641, 0.699, 0.502)
Tm (0.389, 0.175, 0.246)
Tm (0.162, 0.838, 0.750)
Tm (0.301, 0.359, 0.998)
Tm (0.699, 0.641, 0.002)
Tm (0.838, 0.162, 0.250)
Tm (0.611, 0.825, 0.754)
Tm (0.359, 0.301, 0.498)
Tm (0.825, 0.611, 0.254)

Summary:
As for the symmetry: No. 15. The value obtained for the energy above the most stable polymorph in this dataset is 0.0 meV/atom. As for the total energy: -4.347 eV per atom. For the density of states at the Fermi level, the calculation gives 1.302 states/eV/atom. The crystal system is monoclinic.